Be2ReAg | PBE | optimized geometry

abc: 2.712 3.078 5.869
angles: 90.00 90.00 90.00
Fractional coordinates of all 4 atoms:
Re: 0.500 0.500 0.250
Ag: 0.500 0.500 0.750
Be: 0.000 0.000 0.025
Be: 0.000 0.000 0.475

## Properties
* ΔE to the lowest computed polymorph: 0 meV/atom
* E: -5.5437 eV per atom
* density: 10.577 g cm⁻³
* volume: 12.25 A^3/atom
* calculated formation energy: 144 meV per atom

***

Be2ReAg | PBE | optimized geometry

abc: 6.171 6.171 5.147
angles: 53.16 53.16 90.00
Fractional coordinates of all 8 atoms:
Re: 0.000 0.000 0.000
Re: 0.750 0.250 0.500
Ag: 0.500 0.500 0.000
Ag: 0.250 0.750 0.500
Be: 0.623 0.125 0.250
Be: 0.127 0.625 0.250
Be: 0.375 0.377 0.750
Be: 0.875 0.873 0.750

## Properties
* ΔE to the lowest computed polymorph: 530 meV/atom
* E: -5.0134 eV per atom
* density: 9.973 g cm⁻³
* volume: 12.99 A^3/atom
* calculated formation energy: 675 meV per atom

***

BeRe2Ag | PBE | optimized geometry

abc: 4.241 2.654 5.660
angles: 65.54 90.00 90.00
Fractional coordinates of all 4 atoms:
Re: 0.000 0.913 0.975
Re: 0.000 0.587 0.525
Ag: 0.500 0.250 0.250
Be: 0.500 0.750 0.750

## Properties
* E: -7.3348 eV per atom
* density: 14.010 g cm⁻³
* volume: 14.50 A^3/atom
* calculated formation energy: 534 meV per atom

***

Be2ReAg | PBE | optimized geometry

abc: 2.648 2.648 7.401
angles: 90.00 90.00 104.32
Fractional coordinates of all 4 atoms:
Re: 0.500 0.500 0.250
Ag: 0.500 0.500 0.750
Be: 0.000 0.000 0.010
Be: 0.000 0.000 0.490

## Properties
* ΔE to the lowest computed polymorph: 11 meV/atom
* E: -5.5329 eV per atom
* density: 10.304 g cm⁻³
* volume: 12.57 A^3/atom
* calculated formation energy: 155 meV per atom

***

Be2ReAg | PBE | optimized geometry

abc: 3.991 2.694 4.713
angles: 73.52 90.00 90.00
Fractional coordinates of all 4 atoms:
Re: 0.000 0.475 0.427
Ag: 0.500 0.779 0.816
Be: 0.000 0.203 0.968
Be: 0.500 0.043 0.289

## Properties
* ΔE to the lowest computed polymorph: 59 meV/atom
* E: -5.4851 eV per atom
* density: 10.664 g cm⁻³
* volume: 12.15 A^3/atom
* calculated formation energy: 203 meV per atom

***

Be2ReAg | PBE | optimized geometry

abc: 5.090 5.090 5.090
angles: 149.79 131.50 58.21
Fractional coordinates of all 4 atoms:
Re: 0.513 0.513 0.000
Ag: 0.232 0.732 0.500
Be: 0.989 0.989 0.000
Be: 0.767 0.267 0.500

## Properties
* ΔE to the lowest computed polymorph: 162 meV/atom
* E: -5.3820 eV per atom
* density: 10.504 g cm⁻³
* volume: 12.33 A^3/atom
* calculated formation energy: 306 meV per atom

***

BeRe2Ag | PBE | optimized geometry

abc: 2.803 2.803 7.021
angles: 90.00 90.00 90.00
Fractional coordinates of all 4 atoms:
Re: 0.000 0.000 0.941
Re: 0.000 0.000 0.559
Ag: 0.500 0.500 0.250
Be: 0.500 0.500 0.750

## Properties
* E: -7.4508 eV per atom
* density: 14.732 g cm⁻³
* volume: 13.79 A^3/atom
* calculated formation energy: 418 meV per atom

***

Be2ReAg | PBE | optimized geometry

abc: 8.134 8.134 8.134
angles: 19.33 19.33 19.33
Fractional coordinates of all 4 atoms:
Re: 0.250 0.250 0.250
Ag: 0.750 0.750 0.750
Be: 0.998 0.998 0.998
Be: 0.502 0.502 0.502

## Properties
* ΔE to the lowest computed polymorph: 83 meV/atom
* E: -5.4603 eV per atom
* density: 10.054 g cm⁻³
* volume: 12.89 A^3/atom
* calculated formation energy: 228 meV per atom

***

BeRe2Ag | PBE | optimized geometry

abc: 5.050 5.050 5.050
angles: 137.56 137.56 61.58
Fractional coordinates of all 4 atoms:
Re: 0.000 0.000 0.000
Re: 0.500 0.500 0.000
Ag: 0.250 0.750 0.500
Be: 0.750 0.250 0.500

## Properties
* E: -7.2478 eV per atom
* density: 14.012 g cm⁻³
* volume: 14.50 A^3/atom
* calculated formation energy: 621 meV per atom

***

Be2ReAg | PBE | optimized geometry

abc: 4.990 4.990 4.990
angles: 140.69 140.69 56.81
Fractional coordinates of all 4 atoms:
Re: 0.500 0.500 0.000
Ag: 0.750 0.250 0.500
Be: 0.000 0.000 0.000
Be: 0.250 0.750 0.500

## Properties
* ΔE to the lowest computed polymorph: 275 meV/atom
* E: -5.2691 eV per atom
* density: 10.478 g cm⁻³
* volume: 12.36 A^3/atom
* calculated formation energy: 419 meV per atom

***

Be2ReAg | PBE | optimized geometry

abc: 4.191 4.191 2.739
angles: 90.00 90.00 90.06
Fractional coordinates of all 4 atoms:
Re: 0.500 0.000 0.500
Ag: 0.000 0.500 0.500
Be: 0.000 0.000 0.000
Be: 0.500 0.500 0.000

## Properties
* ΔE to the lowest computed polymorph: 2 meV/atom
* E: -5.5417 eV per atom
* density: 10.774 g cm⁻³
* volume: 12.03 A^3/atom
* calculated formation energy: 146 meV per atom

***

BeRe2Ag | PBE | optimized geometry

abc: 2.702 2.702 8.696
angles: 90.00 90.00 114.50
Fractional coordinates of all 4 atoms:
Re: 0.000 0.000 0.981
Re: 0.500 0.500 0.233
Ag: 0.000 0.000 0.528
Be: 0.500 0.500 0.758

## Properties
* E: -7.5287 eV per atom
* density: 14.064 g cm⁻³
* volume: 14.44 A^3/atom
* calculated formation energy: 340 meV per atom